1.
Ce3Ge5Pd: relaxed, GGA-PBE.

Cell: 8.5638 8.5638 5.9690 Å, 90.00 90.00 120.00°
Space group P6_3/mcm (No. 193)
Asymmetric unit:
Ce (0.0000, 0.3856, 0.2500) (multiplicity 6)
Ge (0.0000, 0.2580, 0.7500) (multiplicity 6)
Ge (0.3333, 0.6667, 0.0000) (multiplicity 4)
Pd (0.0000, 0.0000, 0.0000) (multiplicity 2)

Output
Energy of formation from the pure elements, meV per atom: -647

2.
Ce2Pm3Ho6Er: relaxed, GGA-PBE.

Cell: 6.158 10.662 11.724 Å, 90.00 100.07 90.00°
Space group C2/m (No. 12)
Asymmetric unit:
Ce (0.000, 0.166, 0.000) (multiplicity 4)
Pm (0.000, 0.000, 0.500) (multiplicity 2)
Pm (0.000, 0.334, 0.500) (multiplicity 4)
Ho (0.247, 0.000, 0.246) (multiplicity 4)
Ho (0.250, 0.168, 0.754) (multiplicity 8)
Er (0.000, 0.500, 0.000) (multiplicity 2)

Output
Energy of formation from the pure elements, meV per atom: 44

3.
Pa2CoTe: relaxed, GGA-PBE.

Cell: 3.9793 3.9793 21.6406 Å, 90.00 90.00 120.00°
Space group R-3m (No. 166, hexagonal axes)
Asymmetric unit:
Pa (0.0000, 0.0000, 0.2300) (multiplicity 6)
Co (0.0000, 0.0000, 0.5000) (multiplicity 3)
Te (0.0000, 0.0000, 0.0000) (multiplicity 3)

Output
Energy above the most stable polymorph in this dataset, eV per atom: 0.000

| no. | density (g/cm³) | total moment (μB per atom) |
| --- | --- | --- |
| 1 | 7.80 | 0.000 |
| 2 | 8.20 | 0.156 |
| 3 | 10.89 | 0.000 |